Record 1
# Ho5ScCd4

Ho5ScCd4 after structural relaxation (GGA-PBE, Alexandria).

Unit cell a=3.656 b=3.656 c=19.732 alpha=90.00 beta=90.00 gamma=90.00
Space group P4/mmm (No. 123)
Unique sites:
Ho  0.000  0.000  0.000 x1
Ho  0.000  0.000  0.194 x2
Ho  0.000  0.000  0.392 x2
Sc  0.500  0.500  0.500 x1
Cd  0.500  0.500  0.097 x2
Cd  0.500  0.500  0.293 x2

Crystal system   tetragonal
Volume   26.38 Å³/atom
Formation enthalpy at 0 K   -0.237 eV per atom



Record 2
# Sc7Ga2Ag2

Sc7Ga2Ag2 after structural relaxation (GGA-PBE, Alexandria).

Unit cell a=7.182 b=9.951 c=7.170 alpha=90.00 beta=90.00 gamma=90.00
Space group Cmmm (No. 65)
Unique sites:
Sc  0.000  0.000  0.000 x2
Sc  0.000  0.500  0.281 x4
Sc  0.250  0.250  0.289 x8
Ga  0.173  0.000  0.500 x4
Ag  0.000  0.298  0.000 x4

Crystal system   orthorhombic
Volume   23.29 Å³/atom
Formation enthalpy at 0 K   -0.018 eV per atom



Record 3
# TaNb3Ni

TaNb3Ni after structural relaxation (GGA-PBE, Alexandria).

Unit cell a=5.331 b=13.751 c=4.865 alpha=90.00 beta=90.00 gamma=90.00
Space group Cmcm (No. 63)
Unique sites:
Ta  0.000  0.059  0.250 x4
Nb  0.000  0.334  0.750 x4
Nb  0.242  0.150  0.750 x8
Ni  0.000  0.500  0.000 x4

Crystal system   orthorhombic
Energy above the most stable polymorph in this dataset   0.0 meV/atom
Volume   17.83 Å³/atom
Formation enthalpy at 0 K   0.312 eV per atom



Record 4
# V2Ga2Hg

V2Ga2Hg after structural relaxation (GGA-PBE, Alexandria).

Unit cell a=7.184 b=7.184 c=3.218 alpha=90.00 beta=90.00 gamma=90.00
Space group P4/mbm (No. 127)
Unique sites:
V  0.111  0.389  0.000 x4
Ga  0.184  0.684  0.500 x4
Hg  0.000  0.000  0.000 x2

Crystal system   tetragonal
Energy above the most stable polymorph in this dataset   0.0 meV/atom
Volume   16.61 Å³/atom
Formation enthalpy at 0 K   0.092 eV per atom



Record 5
# Nd2Dy4Tl3H2

Nd2Dy4Tl3H2 after structural relaxation (GGA-PBE, Alexandria).

Unit cell a=4.804 b=4.804 c=24.695 alpha=90.00 beta=90.00 gamma=90.00
Space group I4/mmm (No. 139)
Unique sites:
Nd  0.000  0.000  0.197 x4
Dy  0.000  0.500  0.083 x8
Tl  0.000  0.000  0.329 x4
Tl  0.000  0.000  0.500 x2
H  0.000  0.000  0.098 x4

Crystal system   tetragonal
Calculated total energy   -90.2 eV/cell
Volume   25.91 Å³/atom



Record 6
# Li3Sb5

Li3Sb5 after structural relaxation (GGA-PBE, Alexandria).

Unit cell a=6.658 b=7.414 c=9.004 alpha=79.63 beta=70.64 gamma=89.04
Space group P-1 (No. 2)
Unique sites:
Li  0.096  0.046  0.185 x2
Li  0.216  0.431  0.053 x2
Li  0.355  0.352  0.493 x2
Sb  0.195  0.627  0.709 x2
Sb  0.222  0.973  0.481 x2
Sb  0.267  0.162  0.840 x2
Sb  0.302  0.693  0.255 x2
Sb  0.437  0.784  0.881 x2

Formation energy without anion corrections   -202 meV/atom
Crystal system   triclinic
Energy above the most stable polymorph in this dataset   20.6 meV/atom
Volume   25.75 Å³/atom



Record 7
# DyTh6N8

DyTh6N8 after structural relaxation (GGA-PBE, Alexandria).

Unit cell a=10.229 b=10.229 c=10.229 alpha=90.00 beta=90.00 gamma=90.00
Space group Fm-3m (No. 225)
Unique sites:
Dy  0.000  0.000  0.000 x4
Th  0.000  0.250  0.250 x24
N  0.000  0.000  0.233 x24
N  0.250  0.250  0.250 x8

Formation energy without anion corrections   -1452 meV/atom
Crystal system   cubic
Volume   17.84 Å³/atom



Record 8
# YGaAg

YGaAg after structural relaxation (GGA-PBE, Alexandria).

Unit cell a=3.400 b=3.400 c=10.995 alpha=90.00 beta=90.00 gamma=90.00
Space group I4mm (No. 107)
Unique sites:
Y  0.000  0.000  0.000 x2
Ga  0.000  0.000  0.678 x2
Ag  0.000  0.000  0.310 x2

Crystal system   tetragonal
Volume   21.18 Å³/atom
Formation enthalpy at 0 K   -0.297 eV per atom



Record 9
# RbSiAs2

RbSiAs2 after structural relaxation (GGA-PBE, Alexandria).

Unit cell a=19.034 b=3.586 c=7.443 alpha=90.00 beta=112.94 gamma=90.00
Space group C2/m (No. 12)
Unique sites:
Rb  0.150  0.000  0.149 x4
Si  0.090  0.500  0.590 x4
As  0.000  0.500  0.255 x4
As  0.176  0.000  0.676 x4

Formation energy without anion corrections   -216 meV/atom
Crystal system   monoclinic
Volume   29.24 Å³/atom



Record 10
# Pu2P3Rh2

Pu2P3Rh2 after structural relaxation (GGA-PBE, Alexandria).

Unit cell a=14.612 b=3.915 c=11.087 alpha=90.00 beta=125.75 gamma=90.00
Space group C2/m (No. 12)
Unique sites:
Pu  0.111  0.000  0.464 x4
Pu  0.230  0.000  0.834 x4
P  0.070  0.500  0.630 x4
P  0.112  0.000  0.967 x4
P  0.154  0.500  0.305 x4
Rh  0.047  0.500  0.824 x4
Rh  0.086  0.000  0.160 x4

Crystal system   monoclinic
Volume   18.38 Å³/atom
Formation enthalpy at 0 K   -0.954 eV per atom



Record 11
# LaTb2Sb

LaTb2Sb after structural relaxation (GGA-PBE, Alexandria).

Unit cell a=4.911 b=4.911 c=4.804 alpha=90.00 beta=90.00 gamma=90.00
Space group P4/mmm (No. 123)
Unique sites:
La  0.000  0.000  0.000 x1
Tb  0.000  0.500  0.500 x2
Sb  0.500  0.500  0.000 x1

Formation energy without anion corrections   -528 meV/atom
Crystal system   tetragonal
Energy above the most stable polymorph in this dataset   48.7 meV/atom
Volume   28.97 Å³/atom



Record 12
# LiLaTe2

LiLaTe2 after structural relaxation (GGA-PBE, Alexandria).

Unit cell a=4.519 b=7.835 c=14.372 alpha=90.00 beta=90.06 gamma=90.00
Space group Cc (No. 9)
Unique sites:
Li  0.000  0.169  0.000 x4
La  0.000  0.166  0.737 x4
Te  0.000  0.499  0.605 x4
Te  0.001  0.168  0.369 x4

Formation energy without anion corrections   -1362 meV/atom
Crystal system   monoclinic
Volume   31.81 Å³/atom



Record 13
# La6Hg3Ru

La6Hg3Ru after structural relaxation (GGA-PBE, Alexandria).

Unit cell a=7.914 b=8.111 c=12.245 alpha=90.00 beta=120.92 gamma=90.00
Space group P2_1/c (No. 14)
Unique sites:
La  0.067  0.060  0.243 x4
La  0.223  0.697  0.082 x4
La  0.342  0.172  0.062 x4
Hg  0.331  0.110  0.783 x4
Hg  0.500  0.000  0.500 x2
Ru  0.000  0.000  0.000 x2

Crystal system   monoclinic
Volume   33.71 Å³/atom
Formation enthalpy at 0 K   -0.328 eV per atom



Record 14
# Sr2MgIrI

Sr2MgIrI after structural relaxation (GGA-PBE, Alexandria).

Unit cell a=5.884 b=5.884 c=5.047 alpha=90.00 beta=90.00 gamma=90.00
Space group P4/mmm (No. 123)
Unique sites:
Sr  0.000  0.500  0.000 x2
Mg  0.000  0.000  0.500 x1
Ir  0.000  0.000  0.000 x1
I  0.500  0.500  0.500 x1

Formation energy without anion corrections   -485 meV/atom
Crystal system   tetragonal
Volume   34.95 Å³/atom



Record 15
# ScPIr2

ScPIr2 after structural relaxation (GGA-PBE, Alexandria).

Unit cell a=2.943 b=4.495 c=4.619 alpha=90.00 beta=90.00 gamma=90.00
Space group Pmmm (No. 47)
Unique sites:
Sc  0.000  0.000  0.000 x1
P  0.500  0.000  0.500 x1
Ir  0.000  0.500  0.500 x1
Ir  0.500  0.500  0.000 x1

Crystal system   orthorhombic
Volume   15.27 Å³/atom
Formation enthalpy at 0 K   -0.393 eV per atom



Record 16
# TaCdGaO5

TaCdGaO5 after structural relaxation (GGA-PBE, Alexandria).

Unit cell a=6.620 b=9.281 c=7.510 alpha=90.00 beta=113.89 gamma=90.00
Space group C2/c (No. 15)
Unique sites:
Ta  0.000  0.000  0.000 x4
Cd  0.000  0.333  0.250 x4
Ga  0.000  0.310  0.750 x4
O  0.000  0.075  0.250 x4
O  0.126  0.193  0.623 x8
O  0.193  0.436  0.928 x8

Formation energy without anion corrections   -2081 meV/atom
Crystal system   monoclinic
Volume   13.18 Å³/atom



Record 17
# TcSeO3

TcSeO3 after structural relaxation (GGA-PBE, Alexandria).

Unit cell a=3.946 b=3.946 c=3.946 alpha=90.00 beta=90.00 gamma=90.00
Space group Pm-3m (No. 221)
Unique sites:
Tc  0.000  0.000  0.000 x1
Se  0.500  0.500  0.500 x1
O  0.000  0.500  0.500 x3

Formation energy without anion corrections   199 meV/atom
Crystal system   cubic
Volume   12.29 Å³/atom



Record 18
# LiLa2BeH

LiLa2BeH after structural relaxation (GGA-PBE, Alexandria).

Unit cell a=5.116 b=5.116 c=3.865 alpha=90.00 beta=90.00 gamma=90.00
Space group P4/mmm (No. 123)
Unique sites:
Li  0.000  0.000  0.000 x1
La  0.000  0.500  0.500 x2
Be  0.500  0.500  0.000 x1
H  0.000  0.000  0.500 x1

Crystal system   tetragonal
Energy above the most stable polymorph in this dataset   0.0 meV/atom
Volume   20.24 Å³/atom



Record 19
# UMn2Tl3S6

UMn2Tl3S6 after structural relaxation (GGA-PBE, Alexandria).

Unit cell a=6.036 b=10.465 c=8.613 alpha=90.00 beta=105.15 gamma=90.00
Space group C2/m (No. 12)
Unique sites:
U  0.000  0.000  0.000 x2
Mn  0.000  0.333  0.000 x4
Tl  0.000  0.167  0.500 x4
Tl  0.000  0.500  0.500 x2
S  0.196  0.500  0.168 x4
S  0.246  0.183  0.168 x8

Formation energy without anion corrections   -665 meV/atom
Crystal system   monoclinic
Volume   21.88 Å³/atom



Record 20
# Sb3Pt

Sb3Pt after structural relaxation (GGA-PBE, Alexandria).

Unit cell a=5.343 b=5.343 c=5.343 alpha=90.00 beta=90.00 gamma=90.00
Space group Pm-3m (No. 221)
Unique sites:
Sb  0.000  0.000  0.500 x3
Pt  0.000  0.000  0.000 x1

Formation energy without anion corrections   558 meV/atom
Crystal system   cubic
Energy above the most stable polymorph in this dataset   759.4 meV/atom
Volume   38.13 Å³/atom